A plane-wave DFT calculation with PBE was carried out for a relaxed Mn2TcNi crystal.

Structure (CIF):
```
data_Mn2TcNi
_space_group_name_H-M_alt 'P m m 2'
_space_group_IT_number 25
_space_group_name_Hall 'P 2 -2'
_cell_length_a 2.572
_cell_length_b 3.694
_cell_length_c 5.169
_cell_angle_alpha 90.00
_cell_angle_beta 90.00
_cell_angle_gamma 90.00
loop_
_atom_site_label
_atom_site_type_symbol
_atom_site_fract_x
_atom_site_fract_y
_atom_site_fract_z
_atom_site_occupancy
Mn1 Mn 0.000 0.000 0.000 1
Mn2 Mn 0.500 0.500 0.242 1
Tc1 Tc 0.000 0.000 0.502 1
Ni1 Ni 0.500 0.500 0.755 1
```

Computed properties:
- E (eV per atom) = -8.59
- magnetization (μB/f.u.) = 0.68

***

A plane-wave DFT calculation with PBE was carried out for a relaxed MnTc3Ni crystal.

Structure (CIF):
```
data_MnTc3Ni
_space_group_name_H-M_alt 'P m -3 m'
_space_group_IT_number 221
_space_group_name_Hall '-P 4 2 3'
_cell_length_a 4.346
_cell_length_b 4.346
_cell_length_c 4.346
_cell_angle_alpha 90.00
_cell_angle_beta 90.00
_cell_angle_gamma 90.00
loop_
_atom_site_label
_atom_site_type_symbol
_atom_site_fract_x
_atom_site_fract_y
_atom_site_fract_z
_atom_site_occupancy
Mn1 Mn 0.000 0.000 0.000 1
Tc1 Tc 0.000 0.500 0.500 1
Ni1 Ni 0.500 0.500 0.500 1
```

Computed properties:
- E (eV per atom) = -7.45
- magnetization (μB/f.u.) = 0.01

***

N(E_F) in states/eV/cell, matching the order above: 4.4 13.1